No. 1
# PBE TbPmMgAg, relaxed
data_TbPmMgAg
_cell_length_a 3.7805
_cell_length_b 3.7805
_cell_length_c 7.3880
_cell_angle_alpha 90.00
_cell_angle_beta 90.00
_cell_angle_gamma 90.00
_symmetry_space_group_name_H-M 'P 4 m m'
_symmetry_Int_Tables_number 99
loop_
_symmetry_equiv_pos_as_xyz
'x,y,z'
'-y,x,z'
'-x,-y,z'
'y,-x,z'
'-x,y,z'
'y,x,z'
'x,-y,z'
'-y,-x,z'
loop_
_atom_site_label
_atom_site_fract_x
_atom_site_fract_y
_atom_site_fract_z
_atom_site_occupancy
Tb1 0.0000 0.0000 0.0000 1
Pm1 0.0000 0.0000 0.5154 1
Mg1 0.5000 0.5000 0.2519 1
Ag1 0.5000 0.5000 0.7715 1
# Magnetization ... 0.00 μB per cell
# Volume ... 26.40 Å³/atom
# Energy relative to the elements ... -0.19 eV/atom


No. 2
# PBE PmThMgAg, relaxed
data_PmThMgAg
_cell_length_a 7.5858
_cell_length_b 7.5858
_cell_length_c 7.5858
_cell_angle_alpha 90.00
_cell_angle_beta 90.00
_cell_angle_gamma 90.00
_symmetry_space_group_name_H-M 'F -4 3 m'
_symmetry_Int_Tables_number 216
_symmetry_space_group_name_Hall 'F -4 2 3'
loop_
_atom_site_label
_atom_site_fract_x
_atom_site_fract_y
_atom_site_fract_z
_atom_site_occupancy
Pm1 0.0000 0.0000 0.0000 1
Th1 0.0000 0.0000 0.5000 1
Mg1 0.2500 0.2500 0.7500 1
Ag1 0.2500 0.2500 0.2500 1
# Magnetization ... 0.00 μB per cell
# Volume ... 27.28 Å³/atom
# Energy relative to the elements ... -0.01 eV/atom


No. 3
# PBE PmMgTlAg, relaxed
data_PmMgTlAg
_cell_length_a 7.2811
_cell_length_b 7.2811
_cell_length_c 7.2811
_cell_angle_alpha 90.00
_cell_angle_beta 90.00
_cell_angle_gamma 90.00
_symmetry_space_group_name_H-M 'F -4 3 m'
_symmetry_Int_Tables_number 216
_symmetry_space_group_name_Hall 'F -4 2 3'
loop_
_atom_site_label
_atom_site_fract_x
_atom_site_fract_y
_atom_site_fract_z
_atom_site_occupancy
Pm1 0.0000 0.0000 0.0000 1
Mg1 0.0000 0.0000 0.5000 1
Tl1 0.2500 0.2500 0.2500 1
Ag1 0.2500 0.2500 0.7500 1
# Magnetization ... 0.00 μB per cell
# Volume ... 24.13 Å³/atom
# Energy relative to the elements ... -0.31 eV/atom


No. 4
# PBE PmTmMg2Ag4, relaxed
data_PmTmMg2Ag4
_cell_length_a 4.9799
_cell_length_b 4.9799
_cell_length_c 24.2642
_cell_angle_alpha 90.00
_cell_angle_beta 90.00
_cell_angle_gamma 120.00
_symmetry_space_group_name_H-M 'R -3 m'
_symmetry_Int_Tables_number 166
_symmetry_space_group_name_Hall '-R 3 2"'
loop_
_atom_site_label
_atom_site_fract_x
_atom_site_fract_y
_atom_site_fract_z
_atom_site_occupancy
Pm1 0.0000 0.0000 0.0000 1
Tm1 0.0000 0.0000 0.5000 1
Mg1 0.0000 0.0000 0.2495 1
Ag1 0.0000 0.0000 0.1287 1
Ag2 0.0000 0.0000 0.3781 1
# Magnetization ... 0.00 μB per cell
# Volume ... 21.71 Å³/atom
# Energy relative to the elements ... -0.29 eV/atom


No. 5
# PBE PmYMgAg, relaxed
data_PmYMgAg
_cell_length_a 7.5171
_cell_length_b 7.5171
_cell_length_c 7.5171
_cell_angle_alpha 90.00
_cell_angle_beta 90.00
_cell_angle_gamma 90.00
_symmetry_space_group_name_H-M 'F -4 3 m'
_symmetry_Int_Tables_number 216
_symmetry_space_group_name_Hall 'F -4 2 3'
loop_
_atom_site_label
_atom_site_fract_x
_atom_site_fract_y
_atom_site_fract_z
_atom_site_occupancy
Pm1 0.0000 0.0000 0.0000 1
Y1 0.0000 0.0000 0.5000 1
Mg1 0.2500 0.2500 0.7500 1
Ag1 0.2500 0.2500 0.2500 1
# Magnetization ... 0.00 μB per cell
# Volume ... 26.55 Å³/atom
# Energy relative to the elements ... -0.15 eV/atom


No. 6
# PBE PmYMgAg, relaxed
data_PmYMgAg
_cell_length_a 3.7751
_cell_length_b 3.7751
_cell_length_c 7.4020
_cell_angle_alpha 90.00
_cell_angle_beta 90.00
_cell_angle_gamma 90.00
_symmetry_space_group_name_H-M 'P 4 m m'
_symmetry_Int_Tables_number 99
loop_
_symmetry_equiv_pos_as_xyz
'x,y,z'
'-y,x,z'
'-x,-y,z'
'y,-x,z'
'-x,y,z'
'y,x,z'
'x,-y,z'
'-y,-x,z'
loop_
_atom_site_label
_atom_site_fract_x
_atom_site_fract_y
_atom_site_fract_z
_atom_site_occupancy
Pm1 0.0000 0.0000 0.0000 1
Y1 0.0000 0.0000 0.4843 1
Mg1 0.5000 0.5000 0.7357 1
Ag1 0.5000 0.5000 0.2542 1
# Magnetization ... 0.00 μB per cell
# Volume ... 26.37 Å³/atom
# Energy relative to the elements ... -0.19 eV/atom


No. 7
# PBE Pm4MgZn2Ag, relaxed
data_Pm4MgZn2Ag
_cell_length_a 5.2647
_cell_length_b 5.2647
_cell_length_c 25.8660
_cell_angle_alpha 90.00
_cell_angle_beta 90.00
_cell_angle_gamma 120.00
_symmetry_space_group_name_H-M 'R -3 m'
_symmetry_Int_Tables_number 166
_symmetry_space_group_name_Hall '-R 3 2"'
loop_
_atom_site_label
_atom_site_fract_x
_atom_site_fract_y
_atom_site_fract_z
_atom_site_occupancy
Pm1 0.0000 0.0000 0.1220 1
Pm2 0.0000 0.0000 0.3728 1
Mg1 0.0000 0.0000 0.5000 1
Zn1 0.0000 0.0000 0.2433 1
Ag1 0.0000 0.0000 0.0000 1
# Magnetization ... 0.00 μB per cell
# Volume ... 25.87 Å³/atom
# Energy relative to the elements ... -0.24 eV/atom


No. 8
# PBE PmMgZn2Ag2, relaxed
data_PmMgZn2Ag2
_cell_length_a 4.5824
_cell_length_b 4.5824
_cell_length_c 6.7289
_cell_angle_alpha 90.00
_cell_angle_beta 90.00
_cell_angle_gamma 120.00
_symmetry_space_group_name_H-M 'P -3 m 1'
_symmetry_Int_Tables_number 164
_symmetry_space_group_name_Hall '-P 3 2"'
loop_
_atom_site_label
_atom_site_fract_x
_atom_site_fract_y
_atom_site_fract_z
_atom_site_occupancy
Pm1 0.0000 0.0000 0.0000 1
Mg1 0.0000 0.0000 0.5000 1
Zn1 0.3333 0.6667 0.7262 1
Ag1 0.3333 0.6667 0.2944 1
# Magnetization ... 0.00 μB per cell
# Volume ... 20.39 Å³/atom
# Energy relative to the elements ... -0.25 eV/atom


No. 9
# PBE PmMgZn2Ag4, relaxed
data_PmMgZn2Ag4
_cell_length_a 4.6225
_cell_length_b 4.6225
_cell_length_c 25.3343
_cell_angle_alpha 90.00
_cell_angle_beta 90.00
_cell_angle_gamma 120.00
_symmetry_space_group_name_H-M 'R -3 m'
_symmetry_Int_Tables_number 166
_symmetry_space_group_name_Hall '-R 3 2"'
loop_
_atom_site_label
_atom_site_fract_x
_atom_site_fract_y
_atom_site_fract_z
_atom_site_occupancy
Pm1 0.0000 0.0000 0.0000 1
Mg1 0.0000 0.0000 0.5000 1
Zn1 0.0000 0.0000 0.2491 1
Ag1 0.0000 0.0000 0.1278 1
Ag2 0.0000 0.0000 0.3948 1
# Magnetization ... 0.00 μB per cell
# Volume ... 19.53 Å³/atom
# Energy relative to the elements ... -0.16 eV/atom


No. 10
# PBE PmMg2Zn2Ag, relaxed
data_PmMg2Zn2Ag
_cell_length_a 5.1383
_cell_length_b 5.1383
_cell_length_c 11.0181
_cell_angle_alpha 90.00
_cell_angle_beta 90.00
_cell_angle_gamma 90.00
_symmetry_space_group_name_H-M 'I 4/m m m'
_symmetry_Int_Tables_number 139
_symmetry_space_group_name_Hall '-I 4 2'
loop_
_atom_site_label
_atom_site_fract_x
_atom_site_fract_y
_atom_site_fract_z
_atom_site_occupancy
Pm1 0.0000 0.0000 0.0000 1
Mg1 0.0000 0.5000 0.2500 1
Zn1 0.0000 0.0000 0.2730 1
Ag1 0.0000 0.0000 0.5000 1
# Magnetization ... 0.00 μB per cell
# Volume ... 24.24 Å³/atom
# Energy relative to the elements ... 0.11 eV/atom


No. 11
# PBE Pm4MgZnAg2, relaxed
data_Pm4MgZnAg2
_cell_length_a 5.2920
_cell_length_b 5.2920
_cell_length_c 26.0364
_cell_angle_alpha 90.00
_cell_angle_beta 90.00
_cell_angle_gamma 120.00
_symmetry_space_group_name_H-M 'R -3 m'
_symmetry_Int_Tables_number 166
_symmetry_space_group_name_Hall '-R 3 2"'
loop_
_atom_site_label
_atom_site_fract_x
_atom_site_fract_y
_atom_site_fract_z
_atom_site_occupancy
Pm1 0.0000 0.0000 0.1192 1
Pm2 0.0000 0.0000 0.3701 1
Mg1 0.0000 0.0000 0.5000 1
Zn1 0.0000 0.0000 0.0000 1
Ag1 0.0000 0.0000 0.2417 1
# Magnetization ... 0.80 μB per cell
# Volume ... 26.31 Å³/atom
# Energy relative to the elements ... -0.22 eV/atom


No. 12
# PBE PmMg2ZnAg2, relaxed
data_PmMg2ZnAg2
_cell_length_a 5.2111
_cell_length_b 5.2111
_cell_length_c 11.1534
_cell_angle_alpha 90.00
_cell_angle_beta 90.00
_cell_angle_gamma 90.00
_symmetry_space_group_name_H-M 'I 4/m m m'
_symmetry_Int_Tables_number 139
_symmetry_space_group_name_Hall '-I 4 2'
loop_
_atom_site_label
_atom_site_fract_x
_atom_site_fract_y
_atom_site_fract_z
_atom_site_occupancy
Pm1 0.0000 0.0000 0.0000 1
Mg1 0.0000 0.5000 0.2500 1
Zn1 0.0000 0.0000 0.5000 1
Ag1 0.0000 0.0000 0.2771 1
# Magnetization ... 0.00 μB per cell
# Volume ... 25.24 Å³/atom
# Energy relative to the elements ... 0.09 eV/atom